No. 1
{"formula": "Pr3Cd3PdAu2", "functional": "PBE", "state": "relaxed", "spacegroup": "No. 38", "total_magnetization_mub_per_fu": 0.0, "density_g_cm3": 9.50, "ef_ev_per_atom": -0.66, "lattice": [[4.0458, 0.0000, 0.0000], [0.0000, 6.8773, 3.9582], [0.0000, -6.8773, 3.9582]], "species": ["Pr", "Pr", "Pr", "Cd", "Cd", "Cd", "Pd", "Au", "Au"], "frac_coords": [[0.0000, 0.0000, 0.0000], [0.0000, 0.4019, 0.8043], [0.0000, 0.8043, 0.4019], [0.5000, 0.1523, 0.4023], [0.5000, 0.4023, 0.1523], [0.5000, 0.6509, 0.6509], [0.0000, 0.4019, 0.4019], [0.5000, 0.0682, 0.7353], [0.5000, 0.7353, 0.0682]]}

***

No. 2
{"formula": "TbPaNO", "functional": "PBE", "state": "relaxed", "spacegroup": "No. 29", "total_magnetization_mub_per_fu": 0.8, "e_above_lowest_polymorph_ev_per_fu": 0.00, "density_g_cm3": 9.92, "lattice": [[6.7147, 0.0000, 0.0000], [0.0000, 8.3210, 0.0000], [0.0000, 0.0000, 5.0341]], "species": ["Tb", "Tb", "Tb", "Tb", "Pa", "Pa", "Pa", "Pa", "N", "N", "N", "N", "O", "O", "O", "O"], "frac_coords": [[0.0671, 0.1177, 0.0000], [0.4329, 0.1177, 0.5000], [0.5671, 0.8823, 0.0000], [0.9329, 0.8823, 0.5000], [0.0777, 0.6305, 0.9993], [0.4223, 0.6305, 0.4993], [0.5777, 0.3695, 0.9993], [0.9223, 0.3695, 0.4993], [0.0707, 0.6236, 0.4983], [0.4293, 0.6236, 0.9983], [0.5707, 0.3764, 0.4983], [0.9293, 0.3764, 0.9983], [0.0951, 0.1250, 0.5016], [0.4049, 0.1250, 0.0016], [0.5951, 0.8750, 0.5016], [0.9049, 0.8750, 0.0016]]}

***

No. 3
{"formula": "ErTm2Ga3CuAg2", "functional": "PBE", "state": "relaxed", "spacegroup": "No. 38", "total_magnetization_mub_per_fu": 0.0, "density_g_cm3": 9.22, "dft_energy_ev_per_cell": -36.14, "lattice": [[3.7244, 0.0000, 0.0000], [0.0000, 6.4560, 3.7208], [0.0000, -6.4560, 3.7208]], "species": ["Er", "Tm", "Tm", "Ga", "Ga", "Ga", "Cu", "Ag", "Ag"], "frac_coords": [[0.0000, 0.0000, 0.0000], [0.0000, 0.3958, 0.7906], [0.0000, 0.7906, 0.3958], [0.5000, 0.1477, 0.3961], [0.5000, 0.3961, 0.1477], [0.5000, 0.6441, 0.6441], [0.0000, 0.3963, 0.3963], [0.5000, 0.0629, 0.7283], [0.5000, 0.7283, 0.0629]]}

***

No. 4
{"formula": "TmWAu", "functional": "PBE", "state": "relaxed", "spacegroup": "No. 216", "total_magnetization_mub_per_fu": 3.0, "density_g_cm3": 12.76, "ef_ev_per_atom": 1.16, "lattice": [[0.0000, 3.2951, 3.2951], [3.2951, 0.0000, 3.2951], [3.2951, 3.2951, 0.0000]], "species": ["Tm", "W", "Au"], "frac_coords": [[0.0000, 0.0000, 0.0000], [0.2500, 0.2500, 0.2500], [0.7500, 0.7500, 0.7500]]}

***

No. 5
{"formula": "ZrUCo", "functional": "PBE", "state": "relaxed", "spacegroup": "No. 216", "total_magnetization_mub_per_fu": 2.6, "e_above_lowest_polymorph_ev_per_fu": 0.00, "density_g_cm3": 10.54, "ef_ev_per_atom": 0.34, "lattice": [[0.0000, 3.1267, 3.1267], [3.1267, 0.0000, 3.1267], [3.1267, 3.1267, 0.0000]], "species": ["Zr", "U", "Co"], "frac_coords": [[0.0000, 0.0000, 0.0000], [0.5000, 0.5000, 0.5000], [0.7500, 0.7500, 0.7500]]}

***

No. 6
{"formula": "PrGdCl3", "functional": "PBE", "state": "relaxed", "spacegroup": "No. 12", "total_magnetization_mub_per_fu": 0.0, "e_above_lowest_polymorph_ev_per_fu": 0.01, "density_g_cm3": 4.73, "lattice": [[7.8106, -1.9938, 0.0000], [7.8106, 1.9938, 0.0000], [-4.8956, 0.0000, 9.1281]], "species": ["Pr", "Pr", "Gd", "Gd", "Cl", "Cl", "Cl", "Cl", "Cl", "Cl"], "frac_coords": [[0.0910, 0.0910, 0.4463], [0.9090, 0.9090, 0.5537], [0.3602, 0.3602, 0.2043], [0.6398, 0.6398, 0.7957], [0.1608, 0.1608, 0.0059], [0.2679, 0.2679, 0.3731], [0.4602, 0.4602, 0.7760], [0.5398, 0.5398, 0.2240], [0.7321, 0.7321, 0.6269], [0.8392, 0.8392, 0.9941]]}

***

No. 7
{"formula": "TbTlCoTe3", "functional": "PBE", "state": "relaxed", "spacegroup": "No. 62", "total_magnetization_mub_per_fu": 2.5, "density_g_cm3": 7.10, "dft_energy_ev_per_cell": -108.62, "lattice": [[11.3435, 0.0000, 0.0000], [0.0000, 4.2017, 0.0000], [0.0000, 0.0000, 15.8000]], "species": ["Tb", "Tb", "Tb", "Tb", "Tl", "Tl", "Tl", "Tl", "Co", "Co", "Co", "Co", "Te", "Te", "Te", "Te", "Te", "Te", "Te", "Te", "Te", "Te", "Te", "Te"], "frac_coords": [[0.0154, 0.2500, 0.2441], [0.4846, 0.7500, 0.7441], [0.5154, 0.2500, 0.2559], [0.9846, 0.7500, 0.7559], [0.2233, 0.7500, 0.5017], [0.2767, 0.2500, 0.0017], [0.7233, 0.7500, 0.9983], [0.7767, 0.2500, 0.4983], [0.2395, 0.2500, 0.7223], [0.2605, 0.7500, 0.2223], [0.7395, 0.2500, 0.7777], [0.7605, 0.7500, 0.2777], [0.0578, 0.2500, 0.6237], [0.0899, 0.7500, 0.1139], [0.2383, 0.7500, 0.8218], [0.2617, 0.2500, 0.3218], [0.4101, 0.2500, 0.6139], [0.4422, 0.7500, 0.1237], [0.5578, 0.2500, 0.8763], [0.5899, 0.7500, 0.3861], [0.7383, 0.7500, 0.6782], [0.7617, 0.2500, 0.1782], [0.9101, 0.2500, 0.8861], [0.9422, 0.7500, 0.3763]]}

***

No. 8
{"formula": "LiTmGe", "functional": "PBE", "state": "relaxed", "spacegroup": "No. 216", "total_magnetization_mub_per_fu": 0.0, "density_g_cm3": 7.05, "dft_energy_ev_per_cell": -12.24, "lattice": [[0.0000, 3.0819, 3.0819], [3.0819, 0.0000, 3.0819], [3.0819, 3.0819, 0.0000]], "species": ["Li", "Tm", "Ge"], "frac_coords": [[0.0000, 0.0000, 0.0000], [0.2500, 0.2500, 0.2500], [0.7500, 0.7500, 0.7500]]}

***

No. 9
{"formula": "YCd", "functional": "PBE", "state": "relaxed", "spacegroup": "No. 221", "total_magnetization_mub_per_fu": 0.0, "density_g_cm3": 6.43, "ef_ev_per_atom": -0.36, "lattice": [[3.7325, 0.0000, 0.0000], [0.0000, 3.7325, 0.0000], [0.0000, 0.0000, 3.7325]], "species": ["Y", "Cd"], "frac_coords": [[0.0000, 0.0000, 0.0000], [0.5000, 0.5000, 0.5000]]}

***

No. 10
{"formula": "Ho3PaN4", "functional": "PBE", "state": "relaxed", "spacegroup": "No. 65", "total_magnetization_mub_per_fu": 0.0, "density_g_cm3": 11.20, "dft_energy_ev_per_cell": -70.34, "lattice": [[3.4497, -4.8539, 0.0000], [3.4497, 4.8539, 0.0000], [0.0000, 0.0000, 3.4629]], "species": ["Ho", "Ho", "Ho", "Pa", "N", "N", "N", "N"], "frac_coords": [[0.0000, 0.0000, 0.0000], [0.0000, 0.5000, 0.5000], [0.5000, 0.0000, 0.5000], [0.5000, 0.5000, 0.0000], [0.2563, 0.2563, 0.5000], [0.2583, 0.7417, 0.0000], [0.7417, 0.2583, 0.0000], [0.7437, 0.7437, 0.5000]]}

***

No. 11
{"formula": "Dy2Hf2O5", "functional": "PBE", "state": "relaxed", "spacegroup": "No. 123", "total_magnetization_mub_per_fu": 1.8, "e_above_lowest_polymorph_ev_per_fu": 0.62, "density_g_cm3": 9.99, "lattice": [[3.6134, 0.0000, 0.0000], [0.0000, 3.6134, 0.0000], [0.0000, 0.0000, 9.7050]], "species": ["Dy", "Dy", "Hf", "Hf", "O", "O", "O", "O", "O"], "frac_coords": [[0.0000, 0.0000, 0.2498], [0.0000, 0.0000, 0.7502], [0.5000, 0.5000, 0.0000], [0.5000, 0.5000, 0.5000], [0.0000, 0.0000, 0.0000], [0.0000, 0.5000, 0.3732], [0.0000, 0.5000, 0.6268], [0.5000, 0.0000, 0.3732], [0.5000, 0.0000, 0.6268]]}

***

No. 12
{"formula": "Sr2GdSe3", "functional": "PBE", "state": "relaxed", "spacegroup": "No. 164", "total_magnetization_mub_per_fu": 0.0, "density_g_cm3": 5.56, "dft_energy_ev_per_cell": -30.18, "lattice": [[4.2858, 0.0000, 0.0000], [-2.1429, 3.7116, 0.0000], [0.0000, 0.0000, 10.6937]], "species": ["Sr", "Sr", "Gd", "Se", "Se", "Se"], "frac_coords": [[0.3333, 0.6667, 0.1723], [0.6667, 0.3333, 0.8277], [0.0000, 0.0000, 0.5000], [0.0000, 0.0000, 0.0000], [0.3333, 0.6667, 0.6519], [0.6667, 0.3333, 0.3481]]}

***

No. 13
{"formula": "ErP2Pd2", "functional": "PBE", "state": "relaxed", "spacegroup": "No. 139", "total_magnetization_mub_per_fu": 0.0, "density_g_cm3": 8.90, "dft_energy_ev_per_cell": -30.28, "lattice": [[-2.0452, 2.0452, 4.9276], [2.0452, -2.0452, 4.9276], [2.0452, 2.0452, -4.9276]], "species": ["Er", "P", "P", "Pd", "Pd"], "frac_coords": [[0.0000, 0.0000, 0.0000], [0.3891, 0.3891, 0.0000], [0.6109, 0.6109, 0.0000], [0.2500, 0.7500, 0.5000], [0.7500, 0.2500, 0.5000]]}

***

No. 14
{"formula": "PmZnBi", "functional": "PBE", "state": "relaxed", "spacegroup": "No. 216", "total_magnetization_mub_per_fu": 0.0, "e_above_lowest_polymorph_ev_per_fu": 0.20, "density_g_cm3": 7.14, "lattice": [[0.0000, 3.6532, 3.6532], [3.6532, 0.0000, 3.6532], [3.6532, 3.6532, 0.0000]], "species": ["Pm", "Zn", "Bi"], "frac_coords": [[0.0000, 0.0000, 0.0000], [0.2500, 0.2500, 0.2500], [0.7500, 0.7500, 0.7500]]}

***

No. 15
{"formula": "Rb2LiCdF6", "functional": "PBE", "state": "relaxed", "spacegroup": "No. 225", "e_above_lowest_polymorph_ev_per_fu": 0.01, "density_g_cm3": 4.77, "lattice": [[0.0000, 4.1287, 4.1287], [4.1287, 0.0000, 4.1287], [4.1287, 4.1287, 0.0000]], "species": ["Rb", "Rb", "Li", "Cd", "F", "F", "F", "F", "F", "F"], "frac_coords": [[0.2500, 0.2500, 0.2500], [0.7500, 0.7500, 0.7500], [0.0000, 0.0000, 0.0000], [0.5000, 0.5000, 0.5000], [0.2407, 0.2407, 0.7593], [0.2407, 0.7593, 0.2407], [0.2407, 0.7593, 0.7593], [0.7593, 0.2407, 0.2407], [0.7593, 0.2407, 0.7593], [0.7593, 0.7593, 0.2407]]}

***

No. 16
{"formula": "GdYCd2", "functional": "PBE", "state": "relaxed", "spacegroup": "No. 63", "total_magnetization_mub_per_fu": 0.5, "e_above_lowest_polymorph_ev_per_fu": 0.02, "density_g_cm3": 7.43, "ef_ev_per_atom": -0.34, "lattice": [[3.6723, -5.3917, 0.0000], [3.6723, 5.3917, 0.0000], [0.0000, 0.0000, 5.3178]], "species": ["Gd", "Gd", "Y", "Y", "Cd", "Cd", "Cd", "Cd"], "frac_coords": [[0.1369, 0.8630, 0.7500], [0.8630, 0.1369, 0.2500], [0.3675, 0.6325, 0.2500], [0.6325, 0.3675, 0.7500], [0.1380, 0.3585, 0.7500], [0.3585, 0.1380, 0.2500], [0.6415, 0.8620, 0.7500], [0.8620, 0.6415, 0.2500]]}

***

No. 17
{"formula": "Sm2Mg17", "functional": "PBE", "state": "relaxed", "spacegroup": "No. 166", "total_magnetization_mub_per_fu": 0.0, "density_g_cm3": 2.57, "dft_energy_ev_per_cell": -36.46, "lattice": [[5.1223, 2.9574, 5.0824], [-5.1223, 2.9574, 5.0824], [0.0000, -5.9147, 5.0824]], "species": ["Sm", "Sm", "Mg", "Mg", "Mg", "Mg", "Mg", "Mg", "Mg", "Mg", "Mg", "Mg", "Mg", "Mg", "Mg", "Mg", "Mg", "Mg", "Mg"], "frac_coords": [[0.1715, 0.1715, 0.1715], [0.8285, 0.8285, 0.8285], [0.0000, 0.5000, 0.5000], [0.1476, 0.1476, 0.6600], [0.1476, 0.6600, 0.1476], [0.1969, 0.5000, 0.8031], [0.1969, 0.8031, 0.5000], [0.3400, 0.8524, 0.8524], [0.4011, 0.4011, 0.4011], [0.5000, 0.0000, 0.5000], [0.5000, 0.1969, 0.8031], [0.5000, 0.5000, 0.0000], [0.5000, 0.8031, 0.1969], [0.5989, 0.5989, 0.5989], [0.6600, 0.1476, 0.1476], [0.8031, 0.1969, 0.5000], [0.8031, 0.5000, 0.1969], [0.8524, 0.3400, 0.8524], [0.8524, 0.8524, 0.3400]]}

***

No. 18
{"formula": "Rb2HoInO4", "functional": "PBE", "state": "relaxed", "spacegroup": "No. 164", "total_magnetization_mub_per_fu": 0.0, "density_g_cm3": 6.65, "dft_energy_ev_per_cell": -45.82, "lattice": [[3.4056, 0.0000, 0.0000], [-1.7028, 2.9493, 0.0000], [0.0000, 0.0000, 12.8009]], "species": ["Rb", "Rb", "Ho", "In", "O", "O", "O", "O"], "frac_coords": [[0.3333, 0.6667, 0.2543], [0.6667, 0.3333, 0.7457], [0.0000, 0.0000, 0.0000], [0.0000, 0.0000, 0.5000], [0.3333, 0.6667, 0.5876], [0.3333, 0.6667, 0.9094], [0.6667, 0.3333, 0.0906], [0.6667, 0.3333, 0.4124]]}

***

No. 19
{"formula": "U6Co12Ge4C", "functional": "PBE", "state": "relaxed", "spacegroup": "No. 229", "total_magnetization_mub_per_fu": 1.0, "density_g_cm3": 12.40, "dft_energy_ev_per_cell": -188.99, "lattice": [[-4.3374, 4.3374, 4.3374], [4.3374, -4.3374, 4.3374], [4.3374, 4.3374, -4.3374]], "species": ["U", "U", "U", "U", "U", "U", "Co", "Co", "Co", "Co", "Co", "Co", "Co", "Co", "Co", "Co", "Co", "Co", "Ge", "Ge", "Ge", "Ge", "C"], "frac_coords": [[0.0000, 0.2787, 0.2787], [0.0000, 0.7213, 0.7213], [0.2787, 0.0000, 0.2787], [0.2787, 0.2787, 0.0000], [0.7213, 0.0000, 0.7213], [0.7213, 0.7213, 0.0000], [0.0000, 0.3514, 0.6486], [0.0000, 0.6486, 0.3514], [0.2972, 0.6486, 0.6486], [0.3514, 0.0000, 0.6486], [0.3514, 0.3514, 0.7028], [0.3514, 0.6486, 0.0000], [0.3514, 0.7028, 0.3514], [0.6486, 0.0000, 0.3514], [0.6486, 0.2972, 0.6486], [0.6486, 0.3514, 0.0000], [0.6486, 0.6486, 0.2972], [0.7028, 0.3514, 0.3514], [0.0000, 0.0000, 0.5000], [0.0000, 0.5000, 0.0000], [0.5000, 0.0000, 0.0000], [0.5000, 0.5000, 0.5000], [0.0000, 0.0000, 0.0000]]}

***

No. 20
{"formula": "SiAgPt5", "functional": "PBE", "state": "relaxed", "spacegroup": "No. 123", "total_magnetization_mub_per_fu": 0.0, "density_g_cm3": 16.49, "dft_energy_ev_per_cell": -40.51, "lattice": [[3.9630, 0.0000, 0.0000], [0.0000, 3.9630, 0.0000], [0.0000, 0.0000, 7.1246]], "species": ["Si", "Ag", "Pt", "Pt", "Pt", "Pt", "Pt"], "frac_coords": [[0.0000, 0.0000, 0.0000], [0.5000, 0.5000, 0.5000], [0.0000, 0.0000, 0.5000], [0.0000, 0.5000, 0.2042], [0.0000, 0.5000, 0.7958], [0.5000, 0.0000, 0.2042], [0.5000, 0.0000, 0.7958]]}